Record 1
NaTlGePt | PBE | relaxed

Cell and atoms, written as POSCAR:
```
NaTlGePt
1.0
4.038 1.708 2.124
0.597 -0.450 4.814
3.321 -3.097 1.764
Pt Na Tl Ge
1 1 1 1
Cartesian
3.978 -0.919 4.351
5.967 -1.379 6.527
1.989 -0.460 2.176
0.000 0.000 0.000
```

Polymorph energy (0 for the lowest one) in meV per atom: 179.5
Symmetry: No. 216
Uncorrected energy in eV/cell: -13.914

=====

Record 2
LuBiPt | PBE | relaxed

Cell and atoms, written as POSCAR:
```
LuBiPt
1.0
-1.291 4.092 -1.768
2.111 -3.131 -2.697
-6.773 -2.949 -1.878
Pt Bi Lu
2 2 2
Cartesian
-4.081 -0.025 -3.166
0.440 -0.958 -2.537
-2.103 -2.065 -3.242
-6.624 -1.132 -3.871
-4.848 -2.111 -1.345
-1.462 -0.637 -0.405
```

Symmetry: No. 186
Uncorrected energy in eV/cell: -34.294

=====

Record 3
BaPtCl6 | PBE | relaxed

Cell and atoms, written as POSCAR:
```
BaPtCl6
1.0
3.864 -4.862 0.000
3.864 4.862 0.000
-2.208 0.000 5.787
Cl Pt Ba
6 1 1
Cartesian
3.045 1.636 4.556
2.475 -1.636 1.230
0.428 0.000 3.187
3.045 -1.636 4.556
5.092 0.000 2.600
2.475 1.636 1.230
2.760 0.000 2.893
0.000 0.000 0.000
```

Symmetry: No. 12
Uncorrected energy in eV/cell: -28.697

=====

Record 4
LuTaOs | PBE | relaxed

Cell and atoms, written as POSCAR:
```
LuTaOs
1.0
2.546 -2.979 2.142
2.017 1.125 3.823
-1.392 -1.761 3.861
Lu Os Ta
1 1 1
Cartesian
0.793 -0.903 2.457
2.379 -2.710 7.370
0.000 0.000 0.000
```

Symmetry: No. 216
Uncorrected energy in eV/cell: -26.068
Energy of formation in eV/atom: 0.51